Record 1
Rb2As2N, PBEsol geometry, DFT meta-GGA SCAN; raw total energy = -17.911 eV/atom; density of states at the Fermi level = 0.504 states/eV/atom; crystal system = tetragonal; M_tot = 3.48 μB/cell
1.0
3.668 0.000 0.000
0.000 3.668 0.000
0.000 0.000 19.322
Rb As N
4 4 2
Cartesian
0.000 0.000 1.650 Rb
0.000 0.000 17.672 Rb
1.834 1.834 8.011 Rb
1.834 1.834 11.311 Rb
0.000 1.834 4.831 As
0.000 1.834 14.492 As
1.834 0.000 4.831 As
1.834 0.000 14.492 As
0.000 0.000 9.661 N
1.834 1.834 0.000 N


Record 2
RbAs2N, PBEsol geometry, DFT meta-GGA SCAN; raw total energy = -17.104 eV/atom; density of states at the Fermi level = 0.561 states/eV/atom; crystal system = tetragonal; M_tot = 0.00 μB/cell
1.0
5.219 0.000 0.000
0.000 5.219 0.000
0.000 0.000 13.905
Rb As N
4 8 4
Cartesian
0.000 1.305 5.214 Rb
0.000 3.914 8.691 Rb
2.609 1.305 1.738 Rb
2.609 3.914 12.167 Rb
0.000 0.000 0.000 As
0.000 2.609 0.000 As
1.305 1.305 10.429 As
1.305 3.914 3.476 As
2.609 0.000 6.952 As
2.609 2.609 6.952 As
3.914 1.305 10.429 As
3.914 3.914 3.476 As
0.000 1.305 12.167 N
0.000 3.914 1.738 N
2.609 1.305 8.691 N
2.609 3.914 5.214 N


Record 3
Rb2AsN, PBEsol geometry, DFT meta-GGA SCAN; raw total energy = -16.977 eV/atom; density of states at the Fermi level = 0.960 states/eV/atom; crystal system = cubic; M_tot = 16.00 μB/cell
1.0
7.917 0.000 0.000
0.000 7.917 0.000
0.000 0.000 7.917
Rb As N
8 4 4
Cartesian
1.979 1.979 1.979 Rb
1.979 1.979 5.937 Rb
1.979 5.937 1.979 Rb
1.979 5.937 5.937 Rb
5.937 1.979 1.979 Rb
5.937 1.979 5.937 Rb
5.937 5.937 1.979 Rb
5.937 5.937 5.937 Rb
0.000 0.000 0.000 As
0.000 3.958 3.958 As
3.958 0.000 3.958 As
3.958 3.958 0.000 As
0.000 0.000 3.958 N
0.000 3.958 0.000 N
3.958 0.000 0.000 N
3.958 3.958 3.958 N


Record 4
RbAsN2, PBEsol geometry, DFT meta-GGA SCAN; raw total energy = -14.849 eV/atom; density of states at the Fermi level = 0.000 states/eV/atom; crystal system = tetragonal; M_tot = 0.00 μB/cell
1.0
5.764 0.000 0.000
0.000 5.764 0.000
0.000 0.000 7.490
Rb As N
4 4 8
Cartesian
0.000 0.000 0.000 Rb
0.000 2.882 1.872 Rb
2.882 0.000 5.617 Rb
2.882 2.882 3.745 Rb
0.000 0.000 3.745 As
0.000 2.882 5.617 As
2.882 0.000 1.872 As
2.882 2.882 0.000 As
0.614 4.323 4.681 N
1.441 0.614 2.809 N
1.441 2.268 6.554 N
2.268 4.323 0.936 N
3.496 1.441 0.936 N
4.323 3.496 6.554 N
4.323 5.150 2.809 N
5.150 1.441 4.681 N


Record 5
RbAsSe2N, PBEsol geometry, DFT meta-GGA SCAN; raw total energy = -16.269 eV/atom; density of states at the Fermi level = 0.639 states/eV/atom; crystal system = tetragonal; M_tot = 3.00 μB/cell
1.0
5.845 0.000 0.000
0.000 5.845 0.000
0.000 0.000 4.901
Rb As Se N
1 1 2 1
Cartesian
0.000 0.000 0.000 Rb
2.923 2.923 2.450 As
0.000 2.923 0.000 Se
2.923 0.000 0.000 Se
0.000 0.000 2.450 N


Record 6
Re3AsN, PBEsol geometry, DFT meta-GGA SCAN; raw total energy = -47.774 eV/atom; density of states at the Fermi level = 0.662 states/eV/atom; crystal system = cubic; M_tot = 1.75 μB/cell
1.0
4.068 0.000 0.000
0.000 4.068 0.000
0.000 0.000 4.068
Re As N
3 1 1
Cartesian
0.000 0.000 2.034 Re
0.000 2.034 0.000 Re
2.034 0.000 0.000 Re
2.034 2.034 2.034 As
0.000 0.000 0.000 N


Record 7
ReAsN3, PBEsol geometry, DFT meta-GGA SCAN; raw total energy = -21.943 eV/atom; density of states at the Fermi level = 0.431 states/eV/atom; crystal system = cubic; M_tot = 1.93 μB/cell
1.0
3.685 0.000 0.000
0.000 3.685 0.000
0.000 0.000 3.685
Re As N
1 1 3
Cartesian
0.000 0.000 0.000 Re
1.843 1.843 1.843 As
0.000 1.843 1.843 N
1.843 0.000 1.843 N
1.843 1.843 0.000 N


Record 8
ReAsSe2N, PBEsol geometry, DFT meta-GGA SCAN; raw total energy = -26.703 eV/atom; density of states at the Fermi level = 0.757 states/eV/atom; crystal system = tetragonal; M_tot = 2.53 μB/cell
1.0
4.832 0.000 0.000
0.000 4.832 0.000
0.000 0.000 4.782
Re As Se N
1 1 2 1
Cartesian
0.000 0.000 0.000 Re
0.000 0.000 2.391 As
0.000 2.416 0.000 Se
2.416 0.000 0.000 Se
2.416 2.416 2.391 N